(1)
# K4MnPt

A relaxed structure of K4MnPt (PBE, Alexandria via LeMat-Bulk).

Summary:
**Total energy**: -0.1770 Ry per atom
**ΔE_f**: 0.858 eV/atom
**Space group**: No. 216
**Size of the total moment**: 4.97 μB per formula unit

```
K4MnPt
1.0
-6.530 -1.587 -0.851
-4.598 2.026 4.543
-4.473 4.820 -1.626
K Mn Pt
4 1 1
Cartesian
-8.154 2.990 3.075
-9.135 1.158 0.339
-8.091 4.408 -0.054
-5.822 1.963 0.771
-11.701 3.944 1.549
0.000 0.000 0.000
```

***

(2)
# KMn2PtSe

A relaxed structure of KMn2PtSe (PBE, Alexandria via LeMat-Bulk).

Summary:
**Formation energy from raw total energies**: 0.23 eV/atom
**Total energy**: -0.4088 Ry per atom
**Space group**: No. 123
**Size of the total moment**: 9.34 μB per formula unit

```
KMn2PtSe
1.0
-3.662 -3.304 -0.536
3.630 -3.868 -0.957
0.202 -1.011 4.853
K Mn Se Pt
1 2 1 1
Cartesian
0.085 -4.092 1.680
0.101 -0.506 2.427
-1.831 -1.652 -0.268
1.815 -1.934 -0.479
0.000 0.000 0.000
```

***

(3)
# KMnTc2Pt

A relaxed structure of KMnTc2Pt (PBE, Alexandria via LeMat-Bulk).

Summary:
**Total energy**: -0.3057 Ry per atom
**ΔE_f**: 3.248 eV/atom
**Space group**: No. 123
**Size of the total moment**: 1.17 μB per formula unit

```
KMnTc2Pt
1.0
4.455 0.000 0.000
0.000 4.863 0.000
0.000 0.000 4.455
K Mn Tc Pt
1 1 2 1
Cartesian
0.000 0.000 0.000
2.228 2.432 2.228
0.000 0.000 2.228
2.228 0.000 0.000
0.000 2.432 0.000
```